# 1
This record from Alexandria via LeMat-Bulk describes an optimized crystal structure of ErV5. The functional is GGA-PBE.

The space group is Cmmm (No. 65) and the conventional cell measures 4.575, 13.307 and 3.130 Å, with angles of 90.00, 90.00 and 90.00 degrees. Symmetry generates all atoms from Er at (0.000, 0.000, 0.000), V at (0.000, 0.191, 0.500), V at (0.000, 0.330, 0.000) and V at (0.000, 0.500, 0.500).

The calculation puts the total energy at -8.04 eV per atom. For the density of states at the Fermi level, the calculation gives 17.5 states/eV per cell. For the calculated formation energy, the calculation gives 315 meV/atom. The calculated density comes out at 7.35 g cm⁻³.



# 2
This record from Alexandria via LeMat-Bulk describes an optimized crystal structure of Er3V. The functional is GGA-PBE.

The space group is Imm2 (No. 44) and the conventional cell measures 3.660, 10.940 and 5.315 Å, with angles of 90.00, 90.00 and 90.00 degrees. Symmetry generates all atoms from Er at (0.000, 0.000, 0.000), Er at (0.000, 0.213, 0.501) and V at (0.000, 0.500, 0.999).

The calculation puts the total energy at -5.50 eV per atom. For the density of states at the Fermi level, the calculation gives 8.5 states/eV per cell. For the calculated formation energy, the calculation gives 199 meV/atom. The calculated density comes out at 8.63 g cm⁻³.



# 3
This record from Alexandria via LeMat-Bulk describes an optimized crystal structure of ErV2W. The functional is GGA-PBE.

The space group is R-3m (No. 166, hexagonal axes) and the conventional cell measures 3.0739, 3.0739 and 26.3874 Å, with angles of 90.00, 90.00 and 120.00 degrees. Symmetry generates all atoms from Er at (0.0000, 0.0000, 0.0000), V at (0.0000, 0.0000, 0.2373) and W at (0.0000, 0.0000, 0.5000).

The calculation puts the total energy at -8.44 eV per atom. For the density of states at the Fermi level, the calculation gives 17.7 states/eV per cell. For the calculated formation energy, the calculation gives 498 meV/atom. The offset from the most stable computed form is 5.691 kcal/mol of atoms. The calculated density comes out at 10.45 g cm⁻³.



# 4
This record from Alexandria via LeMat-Bulk describes an optimized crystal structure of ErV2W. The functional is GGA-PBE.

The space group is P4/mmm (No. 123) and the conventional cell measures 3.199, 3.199 and 6.946 Å, with angles of 90.00, 90.00 and 90.00 degrees. Symmetry generates all atoms from Er at (0.000, 0.000, 0.000), V at (0.500, 0.500, 0.303) and W at (0.000, 0.000, 0.500).

The calculation puts the total energy at -8.69 eV per atom. For the density of states at the Fermi level, the calculation gives 6.7 states/eV per cell. For the calculated formation energy, the calculation gives 251 meV/atom. The offset from the most stable computed form is 0.000 kcal/mol of atoms. The calculated density comes out at 10.58 g cm⁻³.



# 5
This record from Alexandria via LeMat-Bulk describes an optimized crystal structure of Er2VZn. The functional is GGA-PBE.

The space group is P4/mmm (No. 123) and the conventional cell measures 3.567, 3.567 and 7.009 Å, with angles of 90.00, 90.00 and 90.00 degrees. Symmetry generates all atoms from Er at (0.000, 0.000, 0.246), V at (0.500, 0.500, 0.000) and Zn at (0.500, 0.500, 0.500).

The calculation puts the total energy at -4.87 eV per atom. For the density of states at the Fermi level, the calculation gives 3.8 states/eV per cell. For the calculated formation energy, the calculation gives 6 meV/atom. The offset from the most stable computed form is 0.000 kcal/mol of atoms. The calculated density comes out at 8.39 g cm⁻³.



# 6
This record from Alexandria via LeMat-Bulk describes an optimized crystal structure of Er2VZn. The functional is GGA-PBE.

The space group is R-3m (No. 166, hexagonal axes) and the conventional cell measures 3.2573, 3.2573 and 31.3442 Å, with angles of 90.00, 90.00 and 120.00 degrees. Symmetry generates all atoms from Er at (0.0000, 0.0000, 0.0911), V at (0.0000, 0.0000, 0.0000) and Zn at (0.0000, 0.0000, 0.5000).

The calculation puts the total energy at -4.34 eV per atom. For the density of states at the Fermi level, the calculation gives 18.7 states/eV per cell. For the calculated formation energy, the calculation gives 540 meV/atom. The offset from the most stable computed form is 12.319 kcal/mol of atoms. The calculated density comes out at 7.80 g cm⁻³.